MoSN2F: relaxed, PBE with a Hubbard U.

Cell lengths 3.9691, 3.9691, 4.8888 Å; angles 90.00, 90.00, 90.00 degrees
Last column: magnetic moment on the atom in μB.
Sites, in units of the cell vectors:
N1 0.0000 0.5000 0.0000  0.92
N2 0.5000 0.0000 0.0000  0.92
F1 0.5000 0.5000 0.5000  0.35
S1 0.0000 0.0000 0.5000  0.81
Mo1 0.0000 0.0000 0.0000  -1.34

Output
ΔE to the lowest computed polymorph ... 128 meV/atom
Magnetic moment ... 2.8 μB/f.u.